No. 1
BiH2Br4 PBE-GGA relaxed; mass density = 3.9 Mg/m³; VASP energy = -2.75 eV/atom; space-group type = C2/m
1.0
5.049 0.000 -0.844
0.384 6.747 2.297
-1.161 4.978 8.577
Br Bi H
4 1 2
Cartesian
0.525 3.930 3.138
3.178 7.287 3.482
1.095 4.438 6.547
3.748 7.795 6.892
0.000 0.000 0.000
0.781 4.177 4.669
3.492 7.548 5.360



No. 2
BiHBr PBE-GGA relaxed; mass density = 4.7 Mg/m³; VASP energy = -3.09 eV/atom; space-group type = P2_1/c
1.0
-3.375 5.914 -3.227
0.735 -1.778 -4.028
-10.379 -6.349 0.908
H Bi Br
4 4 4
Cartesian
-6.184 -2.223 -1.101
-5.231 -2.744 -3.171
-7.787 0.531 -3.176
-6.834 0.010 -5.246
-1.868 1.554 -1.041
-11.150 -3.767 -5.306
-3.192 3.632 -4.646
-9.827 -5.845 -1.701
-6.515 -4.313 -4.161
-8.549 -0.518 -3.877
-6.503 2.100 -2.186
-4.470 -1.695 -2.470



No. 3
BiH2Br PBE-GGA relaxed; mass density = 6.3 Mg/m³; VASP energy = -2.86 eV/atom; space-group type = I4_1/amd
1.0
4.869 0.000 0.000
0.000 4.869 0.000
2.435 2.435 6.430
Bi H Br
2 4 2
Cartesian
4.869 2.435 3.215
0.000 0.000 0.000
4.870 3.652 1.608
6.086 2.433 4.823
3.652 2.436 4.823
4.868 1.217 1.608
2.435 2.435 0.000
2.435 4.869 3.215



Please write out number 1 again, unchanged.
BiH2Br4 PBE-GGA relaxed; mass density = 3.9 Mg/m³; VASP energy = -2.75 eV/atom; space-group type = C2/m
1.0
5.049 0.000 -0.844
0.384 6.747 2.297
-1.161 4.978 8.577
Br Bi H
4 1 2
Cartesian
0.525 3.930 3.138
3.178 7.287 3.482
1.095 4.438 6.547
3.748 7.795 6.892
0.000 0.000 0.000
0.781 4.177 4.669
3.492 7.548 5.360